{"formula": "Mg4Bi2N", "functional": "PBE-GGA", "state": "relaxed", "formation_energy_uncorrected_ev_per_atom": -0.319, "polymorph_energy_mev_per_atom": 61, "crystal_system": "orthorhombic", "lattice_angstrom": [[4.241, 0.000, 0.000], [0.000, 4.122, -1.480], [0.000, 0.728, 8.508]], "species": ["Mg", "Mg", "Mg", "Mg", "Bi", "Bi", "N"], "frac_coords": [[0.000, 0.500, 0.000], [0.500, 0.000, 0.000], [0.000, 0.131, 0.262], [0.000, 0.869, 0.738], [0.500, 0.344, 0.688], [0.500, 0.656, 0.312], [0.000, 0.000, 0.000]]}

***

{"formula": "Na2Al2Rh", "functional": "PBE-GGA", "state": "relaxed", "polymorph_energy_mev_per_atom": 306, "ef_ev_per_atom": 0.24, "crystal_system": "tetragonal", "lattice_angstrom": [[3.479, 0.000, 0.000], [0.000, 3.479, 0.000], [1.740, 1.740, 7.741]], "species": ["Na", "Na", "Rh", "Al", "Al"], "frac_coords": [[0.750, 0.250, 0.500], [0.250, 0.750, 0.500], [0.000, 0.000, 0.000], [0.417, 0.417, 0.166], [0.583, 0.583, 0.834]]}

***

{"formula": "Ba2AlCd4In3", "functional": "PBE-GGA", "state": "relaxed", "ef_ev_per_atom": -0.29, "crystal_system": "tetragonal", "lattice_angstrom": [[-4.331, -2.170, -0.708], [1.947, -2.719, -3.575], [2.955, -8.546, 8.109]], "species": ["Ba", "Ba", "Al", "Cd", "Cd", "Cd", "Cd", "In", "In", "In"], "frac_coords": [[0.500, 0.000, 0.253], [0.000, 0.500, 0.747], [0.500, 0.500, 0.500], [0.500, 0.500, 0.000], [0.000, 0.000, 0.000], [0.500, 0.000, 0.628], [0.000, 0.500, 0.372], [0.000, 0.000, 0.500], [0.500, 0.000, 0.865], [0.000, 0.500, 0.135]]}

***

{"formula": "ScBe2", "functional": "PBE-GGA", "state": "relaxed", "ef_ev_per_atom": -0.08, "crystal_system": "cubic", "lattice_angstrom": [[4.783, 0.000, 0.000], [2.392, 4.143, 0.000], [2.392, 1.381, 3.906]], "species": ["Be", "Be", "Be", "Be", "Sc", "Sc"], "frac_coords": [[0.500, 0.500, 0.500], [0.000, 0.500, 0.000], [0.500, 0.000, 0.000], [0.500, 0.500, 0.000], [0.875, 0.875, 0.375], [0.125, 0.125, 0.625]]}

***

{"formula": "ScMnBr", "functional": "PBE-GGA", "state": "relaxed", "formation_energy_uncorrected_ev_per_atom": 0.076, "crystal_system": "hexagonal", "lattice_angstrom": [[-2.780, 2.255, 2.703], [1.686, -3.946, 1.305], [2.562, 1.541, 1.349]], "species": ["Br", "Mn", "Sc"], "frac_coords": [[0.000, 0.000, 0.166], [0.667, 0.333, 0.167], [0.333, 0.667, 0.667]]}

***

{"formula": "LiCe2Si3Pt4", "functional": "PBE-GGA", "state": "relaxed", "formation_energy_uncorrected_ev_per_atom": -1.043, "crystal_system": "tetragonal", "lattice_angstrom": [[-3.630, 1.653, 1.362], [-2.032, -1.812, -3.218], [-1.606, -8.140, 5.598]], "species": ["Li", "Ce", "Ce", "Si", "Si", "Si", "Pt", "Pt", "Pt", "Pt"], "frac_coords": [[0.500, 0.500, 0.500], [0.500, 0.000, 0.255], [0.000, 0.500, 0.745], [0.000, 0.000, 0.500], [0.500, 0.000, 0.869], [0.000, 0.500, 0.131], [0.500, 0.500, 0.000], [0.000, 0.000, 0.000], [0.500, 0.000, 0.630], [0.000, 0.500, 0.370]]}

***

{"formula": "Sc2PtAu2", "functional": "PBE-GGA", "state": "relaxed", "polymorph_energy_mev_per_atom": 221, "ef_ev_per_atom": -0.54, "crystal_system": "tetragonal", "lattice_angstrom": [[3.721, 0.000, 0.000], [0.000, 3.721, 0.000], [1.861, 1.861, 7.457]], "species": ["Sc", "Sc", "Au", "Au", "Pt"], "frac_coords": [[0.404, 0.404, 0.193], [0.596, 0.596, 0.807], [0.750, 0.250, 0.500], [0.250, 0.750, 0.500], [0.000, 0.000, 0.000]]}

***

{"formula": "MgFeW2", "functional": "PBE-GGA", "state": "relaxed", "ef_ev_per_atom": 0.29, "crystal_system": "orthorhombic", "lattice_angstrom": [[-4.086, 2.715, -1.801], [-5.085, -0.083, -1.203], [-2.651, 1.611, 3.104]], "species": ["Fe", "Mg", "W", "W"], "frac_coords": [[0.750, 0.750, 0.750], [0.250, 0.250, 0.250], [0.018, 0.018, 0.982], [0.482, 0.482, 0.518]]}

***

Calculated N(E_F) (states/eV/cell), listed in the same order as above: 2.2, 2.7, 5.5, 4.4, 3.2, 11.5, 3.2, 2.4